[1]
DFT (PBE) results for a relaxed structure of Ac2BePN.

a b c (Å): 6.4892 3.8759 8.9317
angles (deg): 90.00 110.00 90.00
Positions (direct):
Ac (0.2107, 0.2500, 0.3904)
Ac (0.2252, 0.2500, 0.9657)
Ac (0.7748, 0.7500, 0.0343)
Ac (0.7893, 0.7500, 0.6096)
Be (0.4572, 0.7500, 0.2483)
Be (0.5428, 0.2500, 0.7517)
P (0.3464, 0.7500, 0.7066)
P (0.6536, 0.2500, 0.2934)
N (0.1895, 0.7500, 0.1758)
N (0.8105, 0.2500, 0.8242)

Values from the calculation:
DFT total energy	-6.1660	eV/atom
raw formation energy	-5.15	eV per formula unit
magnetization	0.00	μB per cell


[2]
DFT (PBE) results for a relaxed structure of Nd4MgAlZn2.

a b c (Å): 9.1994 9.1994 9.1994
angles (deg): 33.43 33.43 33.43
Positions (direct):
Nd (0.1215, 0.1215, 0.1215)
Nd (0.3718, 0.3718, 0.3718)
Nd (0.6282, 0.6282, 0.6282)
Nd (0.8785, 0.8785, 0.8785)
Mg (0.5000, 0.5000, 0.5000)
Al (0.0000, 0.0000, 0.0000)
Zn (0.2449, 0.2449, 0.2449)
Zn (0.7551, 0.7551, 0.7551)

Values from the calculation:
DFT total energy	-3.6234	eV/atom
E_form	-254	meV/atom
magnetization	0.00	μB per cell


[3]
DFT (PBE) results for a relaxed structure of Mg3Al4Ga4.

a b c (Å): 8.0937 8.0937 8.0937
angles (deg): 151.39 122.80 65.19
Positions (direct):
Mg (0.0000, 0.0000, 0.0000)
Mg (0.3821, 0.8821, 0.5000)
Mg (0.6179, 0.1179, 0.5000)
Al (0.0285, 0.3247, 0.7039)
Al (0.3792, 0.6753, 0.7039)
Al (0.6208, 0.3247, 0.2961)
Al (0.9715, 0.6753, 0.2961)
Ga (0.2191, 0.2191, 0.0000)
Ga (0.3207, 0.5000, 0.8207)
Ga (0.6793, 0.5000, 0.1793)
Ga (0.7809, 0.7809, 0.0000)

Values from the calculation:
DFT total energy	-2.9282	eV/atom
E_form	-32	meV/atom
magnetization	0.00	μB per cell


[4]
DFT (PBE) results for a relaxed structure of CsZrIn3.

a b c (Å): 5.7938 5.7938 5.7938
angles (deg): 90.00 90.00 90.00
Positions (direct):
Cs (0.0000, 0.0000, 0.0000)
Zr (0.5000, 0.5000, 0.5000)
In (0.0000, 0.5000, 0.5000)
In (0.5000, 0.0000, 0.5000)
In (0.5000, 0.5000, 0.0000)

Values from the calculation:
DFT total energy	-3.3071	eV/atom
E_form	216	meV/atom
magnetization	0.49	μB per cell


[5]
DFT (PBE) results for a relaxed structure of SnB2Cl.

a b c (Å): 4.4635 4.4635 4.4635
angles (deg): 60.00 60.00 60.00
Positions (direct):
Sn (0.0000, 0.0000, 0.0000)
B (0.2500, 0.2500, 0.2500)
B (0.7500, 0.7500, 0.7500)
Cl (0.5000, 0.5000, 0.5000)

Values from the calculation:
DFT total energy	-3.0992	eV/atom
raw formation energy	6.81	eV per formula unit
magnetization	0.00	μB per cell


[6]
DFT (PBE) results for a relaxed structure of Al2IrOs.

a b c (Å): 5.5115 5.5115 5.5115
angles (deg): 104.75 104.75 119.38
Positions (direct):
Al (0.1172, 0.6250, 0.9922)
Al (0.3750, 0.3672, 0.4922)
Al (0.6328, 0.1250, 0.0078)
Al (0.8750, 0.8828, 0.5078)
Ir (0.0000, 0.0000, 0.0000)
Ir (0.7500, 0.2500, 0.5000)
Os (0.2500, 0.7500, 0.5000)
Os (0.5000, 0.5000, 0.0000)

Values from the calculation:
DFT total energy	-6.6574	eV/atom
E_form	237	meV/atom
magnetization	0.00	μB per cell


[7]
DFT (PBE) results for a relaxed structure of Tb2Ga3CoNi4.

a b c (Å): 3.9344 3.9344 10.3103
angles (deg): 90.00 90.00 90.00
Positions (direct):
Tb (0.0000, 0.5000, 0.2401)
Tb (0.5000, 0.0000, 0.7599)
Ga (0.0000, 0.0000, 0.0000)
Ga (0.0000, 0.5000, 0.6334)
Ga (0.5000, 0.0000, 0.3666)
Co (0.5000, 0.5000, 0.0000)
Ni (0.0000, 0.0000, 0.5000)
Ni (0.0000, 0.5000, 0.8663)
Ni (0.5000, 0.0000, 0.1337)
Ni (0.5000, 0.5000, 0.5000)

Values from the calculation:
DFT total energy	-5.3215	eV/atom
E_form	-464	meV/atom
magnetization	1.29	μB per cell


[8]
DFT (PBE) results for a relaxed structure of RbZnCd6.

a b c (Å): 11.2068 11.2068 11.2068
angles (deg): 25.14 25.14 25.14
Positions (direct):
Rb (0.0000, 0.0000, 0.0000)
Zn (0.5000, 0.5000, 0.5000)
Cd (0.1387, 0.1387, 0.1387)
Cd (0.2430, 0.2430, 0.2430)
Cd (0.4126, 0.4126, 0.4126)
Cd (0.5874, 0.5874, 0.5874)
Cd (0.7570, 0.7570, 0.7570)
Cd (0.8613, 0.8613, 0.8613)

Values from the calculation:
DFT total energy	-0.9483	eV/atom
E_form	18	meV/atom
magnetization	0.00	μB per cell


[9]
DFT (PBE) results for a relaxed structure of Pm2Tl3HgSe6.

a b c (Å): 7.3780 7.3780 7.9402
angles (deg): 99.25 99.25 119.79
Positions (direct):
Pm (0.1654, 0.8346, 0.0000)
Pm (0.8346, 0.1654, 0.0000)
Tl (0.0000, 0.0000, 0.5000)
Tl (0.3281, 0.6719, 0.5000)
Tl (0.6719, 0.3281, 0.5000)
Hg (0.5000, 0.5000, 0.0000)
Se (0.0963, 0.4275, 0.7849)
Se (0.2357, 0.2357, 0.2257)
Se (0.4275, 0.0963, 0.7849)
Se (0.5725, 0.9037, 0.2151)
Se (0.7643, 0.7643, 0.7743)
Se (0.9037, 0.5725, 0.2151)

Values from the calculation:
DFT total energy	-4.0753	eV/atom
raw formation energy	-11.09	eV per formula unit
magnetization	0.00	μB per cell


[10]
DFT (PBE) results for a relaxed structure of Cs2BaNpO4.

a b c (Å): 6.7618 3.7301 7.3677
angles (deg): 90.00 109.53 90.00
Positions (direct):
Cs (0.0000, 0.0000, 0.0000)
Cs (0.5000, 0.5000, 0.0000)
Ba (0.0000, 0.5000, 0.5000)
Np (0.5000, 0.0000, 0.5000)
O (0.2938, 0.0000, 0.6613)
O (0.3082, 0.5000, 0.3306)
O (0.6918, 0.5000, 0.6694)
O (0.7062, 0.0000, 0.3387)

Values from the calculation:
DFT total energy	-6.7615	eV/atom
raw formation energy	-17.69	eV per formula unit
magnetization	2.95	μB per cell


[11]
DFT (PBE) results for a relaxed structure of SrAc2Au.

a b c (Å): 3.9775 3.9775 10.2086
angles (deg): 90.00 90.00 90.00
Positions (direct):
Sr (0.0000, 0.0000, 0.0000)
Ac (0.5000, 0.5000, 0.3209)
Ac (0.5000, 0.5000, 0.6791)
Au (0.0000, 0.0000, 0.5000)

Values from the calculation:
DFT total energy	-3.6243	eV/atom
E_form	-330	meV/atom
magnetization	0.00	μB per cell


[12]
DFT (PBE) results for a relaxed structure of Ba4PrTi3O12.

a b c (Å): 7.2601 7.2601 7.2601
angles (deg): 109.47 109.47 109.47
Positions (direct):
Ba (0.0000, 0.0000, 0.5000)
Ba (0.0000, 0.5000, 0.0000)
Ba (0.5000, 0.0000, 0.0000)
Ba (0.5000, 0.5000, 0.5000)
Pr (0.0000, 0.0000, 0.0000)
Ti (0.0000, 0.5000, 0.5000)
Ti (0.5000, 0.0000, 0.5000)
Ti (0.5000, 0.5000, 0.0000)
O (0.0000, 0.2745, 0.2745)
O (0.0000, 0.7255, 0.7255)
O (0.2500, 0.5000, 0.7500)
O (0.2500, 0.7500, 0.5000)
O (0.2745, 0.0000, 0.2745)
O (0.2745, 0.2745, 0.0000)
O (0.5000, 0.2500, 0.7500)
O (0.5000, 0.7500, 0.2500)
O (0.7255, 0.0000, 0.7255)
O (0.7255, 0.7255, 0.0000)
O (0.7500, 0.2500, 0.5000)
O (0.7500, 0.5000, 0.2500)

Values from the calculation:
DFT total energy	-7.6863	eV/atom
raw formation energy	-58.07	eV per formula unit
magnetization	1.00	μB per cell